No. 1
A plane-wave DFT calculation with PBE-GGA was carried out for crystalline Na3GeS3 at its relaxed geometry.

Structure (CIF):
```
data_Na3GeS3
_cell_length_a 17.632
_cell_length_b 6.746
_cell_length_c 11.138
_cell_angle_alpha 90.00
_cell_angle_beta 90.00
_cell_angle_gamma 90.00
_space_group_name_H-M_alt 'C m c e'
_space_group_IT_number 64
_space_group_name_Hall '-C 2ac 2'
loop_
_atom_site_label
_atom_site_type_symbol
_atom_site_fract_x
_atom_site_fract_y
_atom_site_fract_z
Na1 Na 0.000 0.140 0.147
Na2 Na 0.181 0.136 0.868
Ge1 Ge 0.091 0.000 0.500
S1 S 0.000 0.222 0.393
S2 S 0.161 0.214 0.618
```

Computed properties:
ΔE to the lowest computed polymorph = 0.0 kJ per mole of atoms
V = 23.66 Å³ per atom
D(E_F) = 0.359 states/eV/atom
VASP energy = -3.77 eV per atom
uncorrected formation energy = -779.6 meV per atom


No. 2
A plane-wave DFT calculation with PBE-GGA was carried out for crystalline Er6CdCu5 at its relaxed geometry.

Structure (CIF):
```
data_Er6CdCu5
_cell_length_a 4.931
_cell_length_b 14.766
_cell_length_c 6.972
_cell_angle_alpha 90.00
_cell_angle_beta 90.00
_cell_angle_gamma 90.00
_space_group_name_H-M_alt 'C m m m'
_space_group_IT_number 65
_space_group_name_Hall '-C 2 2'
loop_
_atom_site_label
_atom_site_type_symbol
_atom_site_fract_x
_atom_site_fract_y
_atom_site_fract_z
Er1 Er 0.000 0.000 0.237
Er2 Er 0.000 0.328 0.245
Cd1 Cd 0.000 0.500 0.500
Cu1 Cu 0.000 0.160 0.500
Cu2 Cu 0.000 0.165 0.000
Cu3 Cu 0.000 0.500 0.000
```

Computed properties:
formation energy from the elements = -0.264 eV per atom
V = 21.15 Å³ per atom
D(E_F) = 0.535 states/eV/atom
VASP energy = -4.33 eV per atom


Question: Which value of VASP energy does entry 2 give?
Answer: -4.33 eV per atom